1.
DFT (GGA-PBE) results for Er6MgCo2 after structural relaxation.

Cell and atoms, written as POSCAR:
```
Er6MgCo2
1.0
-3.1378 0.2940 3.2027
2.3324 -5.5163 -0.3604
6.7812 -0.2257 6.6646
Er Mg Co
6 1 2
Direct
0.0216 0.0431 0.1555 Er
0.3287 0.6574 0.3687 Er
0.9784 0.9569 0.8445 Er
0.2700 0.5399 0.8511 Er
0.7300 0.4601 0.1489 Er
0.6713 0.3426 0.6313 Er
0.0000 0.0000 0.5000 Mg
0.3967 0.7935 0.0706 Co
0.6033 0.2065 0.9294 Co
```

Properties
ΔH_f (0 K) ... -0.039 eV/atom
DOS at the Fermi energy ... 1.1424 states/eV per atom



2.
DFT (GGA-PBE) results for K2CoSi after structural relaxation.

Cell and atoms, written as POSCAR:
```
K2CoSi
1.0
-6.2686 -0.3487 2.1098
3.5792 -2.9808 3.3911
-1.4992 1.7860 3.1322
Co Si K
1 1 2
Direct
0.5000 0.5000 0.0000 Co
0.0000 0.5000 0.5000 Si
0.0000 0.0000 0.0000 K
0.5000 0.0000 0.5000 K
```

Properties
Raw formation energy ... 0.9011 eV per atom
DOS at the Fermi energy ... 1.0376 states/eV per atom